Entry from Alexandria: a relaxed Be2AgBr crystal (PBE). Values from VASP.

- total magnetization (Bohr magnetons per cell) = 0.00
- SG = Cm, No. 8
- V (Å³ per cell) = 79.9
- formation energy without anion corrections (meV per atom) = 178
- distance to the lowest polymorph of the same formula (kJ per mole of atoms) = 0.0
- total DFT energy (no corrections) (eV per formula unit) = -11.263

```
&SYSTEM
  ibrav = 0, nat = 4, ntyp = 3
/
ATOMIC_SPECIES
Be 9.01 Be.upf
Br 79.90 Br.upf
Ag 107.87 Ag.upf
CELL_PARAMETERS angstrom
3.925 -0.051 -0.396
1.938 3.414 -0.396
-0.827 -0.474 6.030
ATOMIC_POSITIONS angstrom
Be 4.882 2.800 5.045
Be 2.905 1.666 4.987
Br 2.930 1.680 2.884
Ag 1.874 1.075 0.177
```